1.
# BaSr2SnS

A geometry-optimized BaSr2SnS structure (GGA-PBE, Alexandria via LeMat-Bulk).

Output
* N(E_F): 0.38 states/eV/f.u.
* E: -3.73 eV/atom
* formation energy from raw total energies: -5.23 eV per formula unit
* size of the total moment: 0.0 μB per formula unit

```
data_BaSr2SnS
_cell_length_a 5.6984
_cell_length_b 5.6984
_cell_length_c 5.9963
_cell_angle_alpha 90.00
_cell_angle_beta 90.00
_cell_angle_gamma 90.00
_symmetry_space_group_name_H-M 'P 4/m m m'
_symmetry_Int_Tables_number 123
_symmetry_space_group_name_Hall '-P 4 2'
loop_
_atom_site_label
_atom_site_fract_x
_atom_site_fract_y
_atom_site_fract_z
_atom_site_occupancy
Ba1 0.0000 0.0000 0.0000 1
Sr1 0.0000 0.5000 0.5000 1
Sn1 0.5000 0.5000 0.0000 1
S1 0.0000 0.0000 0.5000 1
```

2.
# Ba2TbSnS5

A geometry-optimized Ba2TbSnS5 structure (GGA-PBE, Alexandria via LeMat-Bulk).

Output
* N(E_F): 1.37 states/eV/f.u.
* E: -5.29 eV/atom
* formation energy from raw total energies: -14.52 eV per formula unit
* size of the total moment: 0.0 μB per formula unit

```
data_Ba2TbSnS5
_cell_length_a 4.3727
_cell_length_b 18.0394
_cell_length_c 12.8525
_cell_angle_alpha 90.00
_cell_angle_beta 90.00
_cell_angle_gamma 90.00
_symmetry_space_group_name_H-M 'C m c 21'
_symmetry_Int_Tables_number 36
loop_
_symmetry_equiv_pos_as_xyz
'x,y,z'
'-x,-y,z+1/2'
'-x,y,z'
'x,-y,z+1/2'
'x+1/2,y+1/2,z'
'-x+1/2,-y+1/2,z+1/2'
'-x+1/2,y+1/2,z'
'x+1/2,-y+1/2,z+1/2'
loop_
_atom_site_label
_atom_site_fract_x
_atom_site_fract_y
_atom_site_fract_z
_atom_site_occupancy
Ba1 0.0000 0.1138 0.0000 1
Ba2 0.0000 0.1337 0.6293 1
Tb1 0.0000 0.2130 0.3380 1
Sn1 0.0000 0.4531 0.7706 1
S1 0.0000 0.0534 0.3702 1
S2 0.0000 0.2877 0.9737 1
S3 0.0000 0.3165 0.6961 1
S4 0.0000 0.3591 0.3185 1
S5 0.0000 0.4958 0.0918 1
```

3.
# BaSnTe2S6

A geometry-optimized BaSnTe2S6 structure (GGA-PBE, Alexandria via LeMat-Bulk).

Output
* E: -4.05 eV/atom
* formation energy from raw total energies: -3.55 eV per formula unit
* size of the total moment: 0.0 μB per formula unit

```
data_BaSnTe2S6
_cell_length_a 7.2425
_cell_length_b 7.2591
_cell_length_c 7.4574
_cell_angle_alpha 60.93
_cell_angle_beta 61.02
_cell_angle_gamma 60.26
_symmetry_space_group_name_H-M 'P 1'
_symmetry_Int_Tables_number 1
loop_
_symmetry_equiv_pos_as_xyz
'x,y,z'
loop_
_atom_site_label
_atom_site_fract_x
_atom_site_fract_y
_atom_site_fract_z
_atom_site_occupancy
Ba1 0.0000 0.0000 0.0000 1
Sn1 0.5189 0.5183 0.4446 1
Te1 0.3040 0.3050 0.0867 1
Te2 0.7427 0.7429 0.7724 1
S1 0.1345 0.6604 0.7674 1
S2 0.2488 0.5429 0.3012 1
S3 0.4379 0.1356 0.7666 1
S4 0.5420 0.9068 0.3017 1
S5 0.6625 0.4381 0.7668 1
S6 0.9071 0.2495 0.3015 1
```

4.
# Ba2ThSnS5

A geometry-optimized Ba2ThSnS5 structure (GGA-PBE, Alexandria via LeMat-Bulk).

Output
* E: -5.63 eV/atom
* formation energy from raw total energies: -14.73 eV per formula unit
* size of the total moment: 0.0 μB per formula unit

```
data_Ba2ThSnS5
_cell_length_a 4.3303
_cell_length_b 18.2170
_cell_length_c 13.9180
_cell_angle_alpha 90.00
_cell_angle_beta 90.00
_cell_angle_gamma 90.00
_symmetry_space_group_name_H-M 'C m c 21'
_symmetry_Int_Tables_number 36
loop_
_symmetry_equiv_pos_as_xyz
'x,y,z'
'-x,-y,z+1/2'
'-x,y,z'
'x,-y,z+1/2'
'x+1/2,y+1/2,z'
'-x+1/2,-y+1/2,z+1/2'
'-x+1/2,y+1/2,z'
'x+1/2,-y+1/2,z+1/2'
loop_
_atom_site_label
_atom_site_fract_x
_atom_site_fract_y
_atom_site_fract_z
_atom_site_occupancy
Ba1 0.0000 0.0878 0.0000 1
Ba2 0.0000 0.1323 0.6409 1
Th1 0.0000 0.2224 0.3657 1
Sn1 0.0000 0.4556 0.7906 1
S1 0.0000 0.0768 0.4093 1
S2 0.0000 0.2644 0.9985 1
S3 0.0000 0.3069 0.7394 1
S4 0.0000 0.3701 0.3276 1
S5 0.0000 0.4948 0.1040 1
```

Question: Look up the formation energy from raw total energies of the second one.
Answer: -14.52 eV per formula unit